No. 1
VASP calculation (PBE) on an optimized crystal structure of TbTh2Al.

a b c (Å): 3.370 3.370 35.667
angles (deg): 90.00 90.00 120.00
Fractional coordinates of all 12 atoms:
Tb  0.000  0.000  0.000
Tb  0.333  0.667  0.667
Tb  0.667  0.333  0.333
Th  0.000  0.000  0.093
Th  0.000  0.000  0.907
Th  0.333  0.667  0.573
Th  0.333  0.667  0.760
Th  0.667  0.333  0.240
Th  0.667  0.333  0.427
Al  0.000  0.000  0.500
Al  0.333  0.667  0.167
Al  0.667  0.333  0.833

Results
Energy relative to the lowest polymorph listed for this composition   0.329 eV/atom
Total energy   -67.26 eV for the cell shown
Magnetization   0.00 μB/f.u.
Space group   R-3m (166)
Energy of formation from the pure elements   0.198 eV/atom



No. 2
VASP calculation (PBE) on an optimized crystal structure of NpNi4Au8.

a b c (Å): 6.951 6.951 6.951
angles (deg): 98.38 98.38 135.11
Fractional coordinates of all 13 atoms:
Np  0.000  0.000  0.000
Ni  0.000  0.000  0.500
Ni  0.000  0.500  0.000
Ni  0.500  0.000  0.000
Ni  0.500  0.500  0.500
Au  0.000  0.335  0.335
Au  0.000  0.665  0.665
Au  0.281  0.500  0.781
Au  0.335  0.000  0.335
Au  0.500  0.281  0.781
Au  0.500  0.719  0.219
Au  0.665  0.000  0.665
Au  0.719  0.500  0.219

Results
Total energy   -62.90 eV for the cell shown
Magnetization   3.75 μB/f.u.
Space group   I4/mmm (139)
Energy of formation from the pure elements   -0.047 eV/atom



No. 3
VASP calculation (PBE) on an optimized crystal structure of ScBiF2.

a b c (Å): 5.685 5.685 11.000
angles (deg): 90.00 90.00 90.00
Fractional coordinates of all 16 atoms:
Sc  0.000  0.250  0.375
Sc  0.000  0.750  0.625
Sc  0.500  0.250  0.125
Sc  0.500  0.750  0.875
Bi  0.000  0.250  0.875
Bi  0.000  0.750  0.125
Bi  0.500  0.250  0.625
Bi  0.500  0.750  0.375
F  0.000  0.000  0.500
F  0.000  0.500  0.500
F  0.250  0.250  0.250
F  0.250  0.750  0.750
F  0.500  0.000  0.000
F  0.500  0.500  0.000
F  0.750  0.250  0.250
F  0.750  0.750  0.750

Results
Energy relative to the lowest polymorph listed for this composition   0.043 eV/atom
Total energy   -91.23 eV for the cell shown
Magnetization   0.00 μB/f.u.
Space group   I4_1/amd (141)
Uncorrected formation energy   -2.21 eV/atom



No. 4
VASP calculation (PBE) on an optimized crystal structure of Li2Ga4Ag5.

a b c (Å): 8.944 8.944 5.457
angles (deg): 98.50 98.50 27.36
Fractional coordinates of all 11 atoms:
Li  0.080  0.080  0.078
Li  0.920  0.920  0.922
Ga  0.220  0.220  0.350
Ga  0.473  0.473  0.204
Ga  0.527  0.527  0.796
Ga  0.780  0.780  0.650
Ag  0.000  0.000  0.500
Ag  0.313  0.313  0.996
Ag  0.374  0.374  0.537
Ag  0.626  0.626  0.463
Ag  0.687  0.687  0.004

Results
Energy relative to the lowest polymorph listed for this composition   0.046 eV/atom
Total energy   -31.05 eV for the cell shown
Magnetization   0.00 μB/f.u.
Space group   C2/m (12)
Energy of formation from the pure elements   -0.078 eV/atom



No. 5
VASP calculation (PBE) on an optimized crystal structure of PmSm2Mg5.

a b c (Å): 5.283 5.283 15.557
angles (deg): 90.00 90.00 90.00
Fractional coordinates of all 16 atoms:
Pm  0.000  0.000  0.000
Pm  0.500  0.500  0.500
Sm  0.000  0.000  0.260
Sm  0.000  0.000  0.740
Sm  0.500  0.500  0.240
Sm  0.500  0.500  0.760
Mg  0.000  0.000  0.500
Mg  0.000  0.500  0.119
Mg  0.000  0.500  0.381
Mg  0.000  0.500  0.619
Mg  0.000  0.500  0.881
Mg  0.500  0.000  0.119
Mg  0.500  0.000  0.381
Mg  0.500  0.000  0.619
Mg  0.500  0.000  0.881
Mg  0.500  0.500  0.000

Results
Total energy   -45.80 eV for the cell shown
Magnetization   0.00 μB/f.u.
Space group   I4/mmm (139)
Energy of formation from the pure elements   -0.092 eV/atom



No. 6
VASP calculation (PBE) on an optimized crystal structure of Pm4DyEr2Th.

a b c (Å): 5.072 5.072 10.195
angles (deg): 90.00 90.00 90.00
Fractional coordinates of all 8 atoms:
Pm  0.000  0.500  0.249
Pm  0.000  0.500  0.751
Pm  0.500  0.000  0.249
Pm  0.500  0.000  0.751
Dy  0.000  0.000  0.500
Er  0.000  0.000  0.000
Er  0.500  0.500  0.500
Th  0.500  0.500  0.000

Results
Total energy   -39.87 eV for the cell shown
Magnetization   0.00 μB/f.u.
Space group   P4/mmm (123)
Energy of formation from the pure elements   0.035 eV/atom



No. 7
VASP calculation (PBE) on an optimized crystal structure of ScBeNb.

a b c (Å): 3.398 13.878 4.305
angles (deg): 90.00 90.00 90.00
Fractional coordinates of all 12 atoms:
Sc  0.000  0.074  0.250
Sc  0.000  0.926  0.750
Sc  0.500  0.426  0.750
Sc  0.500  0.574  0.250
Be  0.000  0.398  0.250
Be  0.000  0.602  0.750
Be  0.500  0.102  0.750
Be  0.500  0.898  0.250
Nb  0.000  0.243  0.750
Nb  0.000  0.757  0.250
Nb  0.500  0.257  0.250
Nb  0.500  0.743  0.750

Results
Energy relative to the lowest polymorph listed for this composition   0.037 eV/atom
Total energy   -80.16 eV for the cell shown
Magnetization   0.00 μB/f.u.
Space group   Cmcm (63)
Energy of formation from the pure elements   0.029 eV/atom



No. 8
VASP calculation (PBE) on an optimized crystal structure of TbDyTlIr.

a b c (Å): 3.470 3.470 8.079
angles (deg): 90.00 90.00 90.00
Fractional coordinates of all 4 atoms:
Tb  0.000  0.000  0.000
Dy  0.000  0.000  0.590
Tl  0.500  0.500  0.296
Ir  0.500  0.500  0.793

Results
Energy relative to the lowest polymorph listed for this composition   0.000 eV/atom
Total energy   -22.88 eV for the cell shown
Magnetization   0.00 μB/f.u.
Space group   P4mm (99)
Energy of formation from the pure elements   -0.605 eV/atom